w:
Compound: Tb4Dy2Tm
Source: Alexandria
Functional: PBE
Structure: relaxed

The structure belongs to space group P2_1/m (No. 11); the cell edges are 6.102, 6.525 and 11.453 Å and the angles 90.00°, 104.56° and 90.00°. Symmetry generates all atoms from Tb at (0.035, 0.250, 0.363), Tb at (0.151, 0.250, 0.947), Tb at (0.347, 0.507, 0.213), Dy at (0.286, 0.750, 0.923), Dy at (0.393, 0.750, 0.505) and Tm at (0.152, 0.250, 0.663).



x:
Compound: Tb4Dy2Tm
Source: Alexandria
Functional: PBE
Structure: relaxed

The structure belongs to space group P3m1 (No. 156); the cell edges are 3.5667, 3.5667 and 19.9564 Å and the angles 90.00°, 90.00° and 120.00°. Symmetry generates all atoms from Tb at (0.0000, 0.0000, 0.0000), Tb at (0.0000, 0.0000, 0.2821), Tb at (0.6667, 0.3333, 0.4273), Tb at (0.6667, 0.3333, 0.7135), Dy at (0.3333, 0.6667, 0.5707), Dy at (0.3333, 0.6667, 0.8566) and Tm at (0.3333, 0.6667, 0.1406).



Energy relative to the most stable one, in meV/atom: w 132; x 0



w:
Compound: Tb3DyTm4
Source: Alexandria
Functional: PBE
Structure: relaxed

The structure belongs to space group Pmn2_1 (No. 31); the cell edges are 11.137, 7.197 and 6.224 Å and the angles 90.00°, 90.00° and 90.00°. Symmetry generates all atoms from Tb at (0.000, 0.127, 0.000), Tb at (0.250, 0.127, 0.334), Dy at (0.000, 0.873, 0.500), Tm at (0.000, 0.377, 0.501), Tm at (0.000, 0.623, 0.001) and Tm at (0.250, 0.377, 0.833).



x:
Compound: Tb3DyTm4
Source: Alexandria
Functional: PBE
Structure: relaxed

The structure belongs to space group Cmmm (No. 65); the cell edges are 5.572, 25.946 and 3.510 Å and the angles 90.00°, 90.00° and 90.00°. Symmetry generates all atoms from Tb at (0.000, 0.000, 0.000), Tb at (0.000, 0.156, 0.500), Dy at (0.000, 0.500, 0.500), Tm at (0.000, 0.277, 0.000) and Tm at (0.000, 0.396, 0.000).



Energy relative to the most stable one, in meV/atom: w 0; x 199



w:
Compound: TbDy4Tm3
Source: Alexandria
Functional: PBE
Structure: relaxed

The structure belongs to space group Pmn2_1 (No. 31); the cell edges are 11.137, 7.204 and 6.227 Å and the angles 90.00°, 90.00° and 90.00°. Symmetry generates all atoms from Tb at (0.000, 0.124, 0.000), Dy at (0.000, 0.374, 0.500), Dy at (0.000, 0.626, 0.998), Dy at (0.249, 0.626, 0.333), Tm at (0.000, 0.876, 0.500) and Tm at (0.250, 0.124, 0.333).



x:
Compound: TbDy4Tm3
Source: Alexandria
Functional: PBE
Structure: relaxed

The structure belongs to space group Cmmm (No. 65); the cell edges are 5.567, 25.808 and 3.535 Å and the angles 90.00°, 90.00° and 90.00°. Symmetry generates all atoms from Tb at (0.000, 0.000, 0.000), Dy at (0.000, 0.104, 0.500), Dy at (0.000, 0.223, 0.500), Tm at (0.000, 0.345, 0.000) and Tm at (0.000, 0.500, 0.500).



Energy relative to the most stable one, in meV/atom: w 0; x 213



w:
Compound: Tb7Dy2Tm2
Source: Alexandria
Functional: PBE
Structure: relaxed

The structure belongs to space group C2/m (No. 12); the cell edges are 11.174, 11.361 and 5.996 Å and the angles 90.00°, 112.80° and 90.00°. Symmetry generates all atoms from Tb at (0.000, 0.000, 0.000), Tb at (0.176, 0.234, 0.174), Tb at (0.233, 0.000, 0.590), Dy at (0.000, 0.217, 0.500) and Tm at (0.085, 0.500, 0.801).



x:
Compound: Tb7Dy2Tm2
Source: Alexandria
Functional: PBE
Structure: relaxed

The structure belongs to space group Cmmm (No. 65); the cell edges are 6.528, 11.890 and 9.463 Å and the angles 90.00°, 90.00° and 90.00°. Symmetry generates all atoms from Tb at (0.000, 0.000, 0.000), Tb at (0.000, 0.500, 0.185), Tb at (0.250, 0.250, 0.314), Dy at (0.250, 0.000, 0.500) and Tm at (0.000, 0.273, 0.000).



Energy relative to the most stable one, in meV/atom: w 0; x 202



w:
Compound: Tb5Dy2Tm
Source: Alexandria
Functional: PBE
Structure: relaxed

The structure belongs to space group Pbam (No. 55); the cell edges are 7.084, 14.171 and 4.998 Å and the angles 90.00°, 90.00° and 90.00°. Symmetry generates all atoms from Tb at (0.000, 0.000, 0.000), Tb at (0.000, 0.250, 0.000), Tb at (0.250, 0.125, 0.500), Dy at (0.250, 0.375, 0.500) and Tm at (0.000, 0.500, 0.000).



x:
Compound: Tb5Dy2Tm
Source: Alexandria
Functional: PBE
Structure: relaxed

The structure belongs to space group P-1 (No. 2); the cell edges are 6.589, 8.809 and 9.471 Å and the angles 88.18°, 85.00° and 68.11°. Symmetry generates all atoms from Tb at (0.051, 0.245, 0.111), Tb at (0.198, 0.506, 0.411), Tb at (0.295, 0.507, 0.089), Tb at (0.296, 0.755, 0.611), Tb at (0.344, 0.314, 0.750), Dy at (0.270, 0.107, 0.423), Dy at (0.377, 0.892, 0.924) and Tm at (0.062, 0.875, 0.250).



Energy relative to the most stable one, in meV/atom: w 0; x 137



w:
Compound: Tb3Dy4Tm5
Source: Alexandria
Functional: PBE
Structure: relaxed

The structure belongs to space group P-1 (No. 2); the cell edges are 6.088, 7.037 and 8.605 Å and the angles 90.00°, 89.91° and 89.89°. Symmetry generates all atoms from Tb at (0.000, 0.000, 0.000), Tb at (0.167, 0.250, 0.333), Dy at (0.167, 0.750, 0.333), Dy at (0.333, 0.500, 0.668), Tm at (0.000, 0.500, 0.000), Tm at (0.334, 0.000, 0.668) and Tm at (0.500, 0.250, 0.000).



x:
Compound: Tb3Dy4Tm5
Source: Alexandria
Functional: PBE
Structure: relaxed

The structure belongs to space group C2/m (No. 12); the cell edges are 15.813, 5.823 and 9.188 Å and the angles 90.00°, 116.36° and 90.00°. Symmetry generates all atoms from Tb at (0.000, 0.000, 0.000), Tb at (0.210, 0.500, 0.233), Dy at (0.082, 0.500, 0.441), Dy at (0.212, 0.500, 0.879), Tm at (0.000, 0.500, 0.000), Tm at (0.072, 0.000, 0.699) and Tm at (0.172, 0.000, 0.386).



Energy relative to the most stable one, in meV/atom: w 0; x 226



w:
Compound: TbDy3Tm
Source: Alexandria
Functional: PBE
Structure: relaxed

The structure belongs to space group P-1 (No. 2); the cell edges are 6.236, 6.668 and 9.137 Å and the angles 72.27°, 89.99° and 62.17°. Symmetry generates all atoms from Tb at (0.033, 0.101, 0.151), Dy at (0.167, 0.499, 0.250), Dy at (0.233, 0.699, 0.549), Dy at (0.435, 0.299, 0.948) and Tm at (0.366, 0.099, 0.649).



x:
Compound: TbDy3Tm
Source: Alexandria
Functional: PBE
Structure: relaxed

The structure belongs to space group P2_1/m (No. 11); the cell edges are 3.591, 11.507 and 8.406 Å and the angles 90.00°, 102.30° and 90.00°. Symmetry generates all atoms from Tb at (0.185, 0.250, 0.368), Dy at (0.154, 0.750, 0.309), Dy at (0.350, 0.000, 0.700) and Tm at (0.487, 0.750, 0.975).



Energy relative to the most stable one, in meV/atom: w 0; x 321



w:
Compound: Tb4Dy2Tm3
Source: Alexandria
Functional: PBE
Structure: relaxed

The structure belongs to space group C2/c (No. 15); the cell edges are 15.944, 11.527 and 6.105 Å and the angles 90.00°, 95.72° and 90.00°. Symmetry generates all atoms from Tb at (0.047, 0.142, 0.013), Tb at (0.213, 0.357, 0.846), Dy at (0.119, 0.358, 0.320), Tm at (0.000, 0.403, 0.750) and Tm at (0.167, 0.097, 0.582).



x:
Compound: Tb4Dy2Tm3
Source: Alexandria
Functional: PBE
Structure: relaxed

The structure belongs to space group Cccm (No. 66); the cell edges are 9.640, 16.680 and 6.945 Å and the angles 90.00°, 90.00° and 90.00°. Symmetry generates all atoms from Tb at (0.143, 0.175, 0.000), Tb at (0.166, 0.484, 0.000), Dy at (0.191, 0.159, 0.500), Tm at (0.000, 0.000, 0.250) and Tm at (0.000, 0.333, 0.250).



Energy relative to the most stable one, in meV/atom: w 47; x 0